Density functional theory data (GGA-PBE) for a geometry-optimized CaTcC3 structure.

Calculated values
- energy relative to the elements (eV/f.u.) = 5.2
- magnetization (μB/atom) = 0.0000
- D(E_F) (states/eV per atom) = 0.636
- energy above the most stable polymorph in this dataset (eV/atom) = 0.0000
- total energy (eV/f.u.) = -34.81

Unit cell a=4.040 b=4.040 c=4.040 alpha=90.00 beta=90.00 gamma=90.00
Atoms (fractional coordinates):
Ca 0.000 0.000 0.000
Tc 0.500 0.500 0.500
C 0.000 0.500 0.500
C 0.500 0.000 0.500
C 0.500 0.500 0.000